This record from Alexandria describes CoSn3P after structural relaxation. The functional is PBE-GGA.

Cell lengths 4.8644, 4.8644, 4.8644 Å; angles 90.00, 90.00, 90.00 degrees
Closest atoms and distances in Å follow each position.
Atoms (fractional coordinates):
Co: 0.0000 0.0000 0.0000  6 Sn 2.43
Sn: 0.0000 0.0000 0.5000  2 Co 2.43
Sn: 0.0000 0.5000 0.0000  2 Co 2.43
Sn: 0.5000 0.0000 0.0000  2 Co 2.43
P: 0.5000 0.5000 0.5000  12 Sn 3.44

excess energy over the best structure of this formula in the dataset = 0 meV/atom
volume = 115.1 Å³/f.u.
magnetization = 0.00 μB/f.u.
calculated total energy = -4.700 eV/atom
formation energy from the elements = 205 meV/atom